Entry 1:
A plane-wave DFT calculation with GGA-PBE was carried out for a relaxed structure of Mg2ZrTl.

Total moment (μB per formula unit): 0.0
E_tot (Ha/atom): -0.1295
Excess energy over the best structure of this formula in the dataset (meV per atom): 111

```
Mg2ZrTl
1.0
3.274 0.000 0.000
0.000 3.274 0.000
0.000 0.000 8.675
Mg Tl Zr
2 1 1
Cartesian
0.000 0.000 8.637
0.000 0.000 4.375
1.637 1.637 2.169
1.637 1.637 6.506
```

Entry 2:
A plane-wave DFT calculation with GGA-PBE was carried out for a relaxed structure of Ca2As7Ru12.

Total moment (μB per formula unit): 0.0
E_tot (Ha/atom): -0.2711

```
Ca2As7Ru12
1.0
4.037 0.000 0.000
0.000 8.467 -4.888
0.000 0.000 9.777
Ca As Ru
2 7 12
Cartesian
2.018 0.000 0.000
0.000 5.645 0.000
0.000 2.822 4.888
0.000 0.272 7.528
0.000 6.383 5.777
0.000 1.812 1.360
2.018 5.247 2.353
2.018 7.881 -0.832
2.018 3.805 -1.521
2.018 7.610 1.668
2.018 6.107 -2.536
2.018 3.218 0.868
2.018 2.067 6.464
2.018 4.565 4.755
2.018 1.835 3.446
0.000 0.506 5.120
0.000 4.181 6.779
0.000 3.780 2.767
0.000 6.399 3.372
0.000 8.188 -2.339
0.000 2.348 -1.033
```

no.,ΔH_f (0 K) (eV/atom)
1,0.0011
2,-0.3353